This record from the Alexandria database describes Nd2Ho3Sn4 after structural relaxation. The functional is PBE.

a b c (Å): 8.0311 8.3245 8.3196
angles (deg): 90.00 90.00 110.48
Last column: nearest neighbours and their distance in Å.
Atoms (fractional coordinates):
Nd: 0.5625 0.1926 0.3222  6 Sn 3.19-3.55
Nd: 0.9375 0.8074 0.8222  6 Sn 3.19-3.55
Nd: 0.4375 0.8074 0.6778  6 Sn 3.19-3.55
Nd: 0.0625 0.1926 0.1778  6 Sn 3.19-3.55
Ho: 0.0000 0.5000 0.5000  6 Sn 3.16-3.27
Ho: 0.5000 0.5000 0.0000  6 Sn 3.16-3.27
Ho: 0.7413 0.2472 0.8324  6 Sn 3.04-3.20
Ho: 0.7587 0.7528 0.3324  6 Sn 3.04-3.20
Ho: 0.2587 0.7528 0.1676  6 Sn 3.04-3.20
Ho: 0.2413 0.2472 0.6676  6 Sn 3.04-3.20
Sn: 0.8415 0.0826 0.5394  4 Ho 3.04-3.27, 1 Nd 3.25, 1 Sn 3.36
Sn: 0.6585 0.9174 0.0394  4 Ho 3.04-3.27, 1 Nd 3.25, 1 Sn 3.36
Sn: 0.1585 0.9174 0.4606  4 Ho 3.04-3.27, 1 Nd 3.25, 1 Sn 3.36
Sn: 0.3415 0.0826 0.9606  4 Ho 3.04-3.27, 1 Nd 3.25, 1 Sn 3.36
Sn: 0.8633 0.4890 0.1349  5 Ho 3.09-3.22, 1 Sn 3.10, 2 Nd 3.19-3.40
Sn: 0.6367 0.5110 0.6349  5 Ho 3.09-3.22, 1 Sn 3.10, 2 Nd 3.19-3.40
Sn: 0.1367 0.5110 0.8651  5 Ho 3.09-3.22, 1 Sn 3.10, 2 Nd 3.19-3.40
Sn: 0.3633 0.4890 0.3651  5 Ho 3.09-3.22, 1 Sn 3.10, 2 Nd 3.19-3.40

Output
The size of the total moment is 0.0 Bohr magnetons per cell. The excess energy over the best structure of this formula in the dataset comes out at 0 meV/atom. The density comes out at 8.02 g cm⁻³. The symmetry is P2_1/c, No. 14. The density of states at the Fermi level comes out at 0.76 states/eV/atom. As for the formation energy: -787 meV per atom.


This record from the Alexandria database describes Nd12HoSn3 after structural relaxation. The functional is PBE.

a b c (Å): 4.9793 4.9793 20.2533
angles (deg): 90.00 90.00 90.00
Last column: nearest neighbours and their distance in Å.
Atoms (fractional coordinates):
Nd: 0.5000 0.5000 0.0000  4 Ho 3.52, 8 Nd 3.66
Nd: 0.5000 0.5000 0.2565  8 Nd 3.51-3.54, 4 Sn 3.52
Nd: 0.5000 0.5000 0.5000  8 Nd 3.50, 4 Sn 3.52
Nd: 0.5000 0.5000 0.7435  8 Nd 3.51-3.54, 4 Sn 3.52
Nd: 0.5000 0.0000 0.1326  2 Sn 3.52, 8 Nd 3.52-3.66, 2 Ho 3.66
Nd: 0.5000 0.0000 0.3784  4 Sn 3.50-3.52, 8 Nd 3.50-3.52
Nd: 0.5000 0.0000 0.6216  8 Nd 3.50-3.52, 4 Sn 3.50-3.52
Nd: 0.5000 0.0000 0.8674  2 Sn 3.52, 8 Nd 3.52-3.66, 2 Ho 3.66
Nd: 0.0000 0.5000 0.1326  2 Sn 3.52, 8 Nd 3.52-3.66, 2 Ho 3.66
Nd: 0.0000 0.5000 0.3784  4 Sn 3.50-3.52, 8 Nd 3.50-3.52
Nd: 0.0000 0.5000 0.6216  8 Nd 3.50-3.52, 4 Sn 3.50-3.52
Nd: 0.0000 0.5000 0.8674  2 Sn 3.52, 8 Nd 3.52-3.66, 2 Ho 3.66
Ho: 0.0000 0.0000 0.0000  12 Nd 3.52-3.66
Sn: 0.0000 0.0000 0.2554  12 Nd 3.52
Sn: 0.0000 0.0000 0.5000  12 Nd 3.50-3.52
Sn: 0.0000 0.0000 0.7446  12 Nd 3.52

Output
The size of the total moment is 0.0 Bohr magnetons per cell. The density comes out at 7.45 g cm⁻³. The symmetry is P4/mmm, No. 123. The density of states at the Fermi level comes out at 1.08 states/eV/atom. As for the formation energy: -322 meV per atom.


This record from the Alexandria database describes NdHo2Sn2 after structural relaxation. The functional is PBE.

a b c (Å): 5.2381 5.2381 6.6754
angles (deg): 66.90 66.90 59.99
Last column: nearest neighbours and their distance in Å.
Atoms (fractional coordinates):
Nd: 0.0000 0.5000 0.0000  6 Sn 3.33, 2 Ho 3.72
Ho: 0.2083 0.7083 0.3750  3 Sn 3.14, 3 Ho 3.37
Ho: 0.7917 0.2917 0.6250  3 Sn 3.14, 3 Ho 3.37
Sn: 0.5883 0.0883 0.2352  3 Ho 3.14, 1 Sn 3.15, 3 Nd 3.33
Sn: 0.4117 0.9117 0.7648  3 Ho 3.14, 1 Sn 3.15, 3 Nd 3.33

Output
The size of the total moment is 0.0 Bohr magnetons per cell. The density comes out at 8.36 g cm⁻³. The symmetry is R-3m, No. 166. The density of states at the Fermi level comes out at 0.72 states/eV/atom. As for the formation energy: -571 meV per atom.


This record from the Alexandria database describes Nd8HoSn6 after structural relaxation. The functional is PBE.

a b c (Å): 9.3316 9.3316 8.5294
angles (deg): 56.84 56.84 60.00
Last column: nearest neighbours and their distance in Å.
Atoms (fractional coordinates):
Nd: 0.5589 0.2327 0.3109  5 Sn 3.18-3.39
Nd: 0.7673 0.1025 0.6891  5 Sn 3.18-3.39
Nd: 0.1025 0.4411 0.6891  5 Sn 3.18-3.39
Nd: 0.6661 0.6661 0.0018  6 Sn 3.40-3.42, 6 Nd 3.71
Nd: 0.3339 0.3339 0.9982  6 Sn 3.40-3.42, 6 Nd 3.71
Nd: 0.8975 0.5589 0.3109  5 Sn 3.18-3.39
Nd: 0.2327 0.8975 0.3109  5 Sn 3.18-3.39
Nd: 0.4411 0.7673 0.6891  5 Sn 3.18-3.39
Ho: 0.0000 0.0000 0.0000  6 Sn 3.33
Sn: 0.3943 0.0676 0.7986  7 Nd 3.18-3.42, 1 Ho 3.33
Sn: 0.9324 0.2605 0.2014  7 Nd 3.18-3.42, 1 Ho 3.33
Sn: 0.2605 0.6057 0.2014  7 Nd 3.18-3.42, 1 Ho 3.33
Sn: 0.7395 0.3943 0.7986  7 Nd 3.18-3.42, 1 Ho 3.33
Sn: 0.0676 0.7395 0.7986  7 Nd 3.18-3.42, 1 Ho 3.33
Sn: 0.6057 0.9324 0.2014  7 Nd 3.18-3.42, 1 Ho 3.33

Output
The size of the total moment is 0.0 Bohr magnetons per cell. The density comes out at 6.76 g cm⁻³. The symmetry is R-3, No. 148. The density of states at the Fermi level comes out at 0.61 states/eV/atom. As for the formation energy: -564 meV per atom.


This record from the Alexandria database describes Nd6HoSn10 after structural relaxation. The functional is PBE.

a b c (Å): 6.4315 9.4058 9.4058
angles (deg): 120.00 90.00 90.00
Last column: nearest neighbours and their distance in Å.
Atoms (fractional coordinates):
Nd: 0.7327 0.3909 0.3909  8 Sn 3.19-3.42
Nd: 0.7327 0.0000 0.6091  8 Sn 3.19-3.42
Nd: 0.7327 0.6091 0.0000  8 Sn 3.19-3.42
Nd: 0.2673 0.6091 0.6091  8 Sn 3.19-3.42
Nd: 0.2673 0.0000 0.3909  8 Sn 3.19-3.42
Nd: 0.2673 0.3909 0.0000  8 Sn 3.19-3.42
Ho: 0.5000 0.0000 0.0000  6 Sn 3.10
Sn: 0.8157 0.7505 0.7505  1 Ho 3.10, 4 Nd 3.19-3.42, 2 Sn 3.34
Sn: 0.8157 0.0000 0.2495  1 Ho 3.10, 4 Nd 3.19-3.42, 2 Sn 3.34
Sn: 0.8157 0.2495 0.0000  1 Ho 3.10, 4 Nd 3.19-3.42, 2 Sn 3.34
Sn: 0.1843 0.2495 0.2495  1 Ho 3.10, 4 Nd 3.19-3.42, 2 Sn 3.34
Sn: 0.1843 0.0000 0.7505  1 Ho 3.10, 4 Nd 3.19-3.42, 2 Sn 3.34
Sn: 0.1843 0.7505 0.0000  1 Ho 3.10, 4 Nd 3.19-3.42, 2 Sn 3.34
Sn: 0.5000 0.3333 0.6667  2 Sn 3.22, 6 Nd 3.27
Sn: 0.5000 0.6667 0.3333  2 Sn 3.22, 6 Nd 3.27
Sn: 0.0000 0.6667 0.3333  2 Sn 3.22, 6 Nd 3.37
Sn: 0.0000 0.3333 0.6667  2 Sn 3.22, 6 Nd 3.37

Output
The size of the total moment is 0.0 Bohr magnetons per cell. The density comes out at 7.47 g cm⁻³. The symmetry is P-31m, No. 162. The density of states at the Fermi level comes out at 0.69 states/eV/atom. As for the formation energy: -564 meV per atom.


This record from the Alexandria database describes Nd4HoSn4 after structural relaxation. The functional is PBE.

a b c (Å): 6.4706 9.5109 9.5109
angles (deg): 90.00 90.00 90.00
Last column: nearest neighbours and their distance in Å.
Atoms (fractional coordinates):
Nd: 0.3646 0.2862 0.9193  4 Sn 3.11-3.35
Nd: 0.8646 0.5807 0.7862  4 Sn 3.11-3.35
Nd: 0.3646 0.7138 0.0807  4 Sn 3.11-3.35
Nd: 0.1354 0.2138 0.5807  4 Sn 3.11-3.35
Nd: 0.6354 0.9193 0.7138  4 Sn 3.11-3.35
Nd: 0.1354 0.7862 0.4193  4 Sn 3.11-3.35
Nd: 0.8646 0.4193 0.2138  4 Sn 3.11-3.35
Nd: 0.6354 0.0807 0.2862  4 Sn 3.11-3.35
Ho: 0.0000 0.0000 0.0000  4 Sn 2.92
Ho: 0.5000 0.5000 0.5000  4 Sn 2.92
Sn: 0.6424 0.7715 0.3939  1 Ho 2.92, 1 Sn 3.10, 2 Nd 3.11-3.20
Sn: 0.6424 0.2285 0.6061  1 Ho 2.92, 1 Sn 3.10, 2 Nd 3.11-3.20
Sn: 0.1424 0.8939 0.7285  1 Ho 2.92, 1 Sn 3.10, 2 Nd 3.11-3.20
Sn: 0.8576 0.2715 0.8939  1 Ho 2.92, 1 Sn 3.10, 2 Nd 3.11-3.20
Sn: 0.8576 0.7285 0.1061  1 Ho 2.92, 1 Sn 3.10, 2 Nd 3.11-3.20
Sn: 0.3576 0.3939 0.2285  1 Ho 2.92, 1 Sn 3.10, 2 Nd 3.11-3.20
Sn: 0.3576 0.6061 0.7715  1 Ho 2.92, 1 Sn 3.10, 2 Nd 3.11-3.20
Sn: 0.1424 0.1061 0.2715  1 Ho 2.92, 1 Sn 3.10, 2 Nd 3.11-3.20

Output
The size of the total moment is 0.0 Bohr magnetons per cell. The density comes out at 6.90 g cm⁻³. The symmetry is P4_2/n, No. 86. The density of states at the Fermi level comes out at 0.82 states/eV/atom. As for the formation energy: -488 meV per atom.


This record from the Alexandria database describes Nd2HoSn2 after structural relaxation. The functional is PBE.

a b c (Å): 4.5641 8.1443 8.1443
angles (deg): 90.00 90.00 90.00
Last column: nearest neighbours and their distance in Å.
Atoms (fractional coordinates):
Nd: 0.5000 0.1715 0.6715  6 Sn 3.22-3.37
Nd: 0.5000 0.6715 0.8285  6 Sn 3.22-3.37
Nd: 0.5000 0.8285 0.3285  6 Sn 3.22-3.37
Nd: 0.5000 0.3285 0.1715  6 Sn 3.22-3.37
Ho: 0.0000 0.0000 0.0000  4 Sn 3.19
Ho: 0.0000 0.5000 0.5000  4 Sn 3.19
Sn: 0.0000 0.3693 0.8693  1 Sn 3.01, 2 Ho 3.19, 2 Nd 3.22
Sn: 0.0000 0.8693 0.6307  1 Sn 3.01, 2 Ho 3.19, 2 Nd 3.22
Sn: 0.0000 0.6307 0.1307  1 Sn 3.01, 2 Ho 3.19, 2 Nd 3.22
Sn: 0.0000 0.1307 0.3693  1 Sn 3.01, 2 Ho 3.19, 2 Nd 3.22

Output
The size of the total moment is 0.0 Bohr magnetons per cell. The excess energy over the best structure of this formula in the dataset comes out at 0 meV/atom. The density comes out at 7.58 g cm⁻³. The symmetry is P4/mbm, No. 127. The density of states at the Fermi level comes out at 0.92 states/eV/atom. As for the formation energy: -713 meV per atom.


This record from the Alexandria database describes Nd5Ho2Sn5 after structural relaxation. The functional is PBE.

a b c (Å): 4.4590 7.8160 12.8424
angles (deg): 109.42 90.00 106.57
Last column: nearest neighbours and their distance in Å.
Atoms (fractional coordinates):
Nd: 0.5000 0.0000 0.5000  4 Sn 3.17
Nd: 0.6606 0.3212 0.0402  5 Sn 3.19-3.38
Nd: 0.7263 0.4525 0.3436  5 Sn 3.09-3.31
Nd: 0.2737 0.5475 0.6564  5 Sn 3.09-3.31
Nd: 0.3394 0.6788 0.9598  5 Sn 3.19-3.38
Ho: 0.0504 0.1007 0.7874  4 Sn 2.99-3.07
Ho: 0.9496 0.8993 0.2126  4 Sn 2.99-3.07
Sn: 0.1153 0.2306 0.4254  1 Ho 2.99, 5 Nd 3.09-3.17
Sn: 0.6921 0.3841 0.7918  2 Ho 3.07, 5 Nd 3.31-3.38
Sn: 0.3079 0.6159 0.2082  2 Ho 3.07, 5 Nd 3.31-3.38
Sn: 0.8847 0.7694 0.5746  1 Ho 2.99, 5 Nd 3.09-3.17
Sn: 0.0000 0.0000 0.0000  2 Ho 3.07, 4 Nd 3.19

Output
The size of the total moment is 0.6 Bohr magnetons per cell. The density comes out at 6.79 g cm⁻³. The symmetry is C2/m, No. 12. The density of states at the Fermi level comes out at 0.64 states/eV/atom. As for the formation energy: -545 meV per atom.


Number 1: DFT total energy -5.152 eV per atom. Number 2: DFT total energy -4.935 eV per atom. Number 3: DFT total energy -4.957 eV per atom. Number 4: DFT total energy -5.013 eV per atom. Number 5: DFT total energy -4.870 eV per atom. Number 6: DFT total energy -4.895 eV per atom. Number 7: DFT total energy -5.136 eV per atom. Number 8: DFT total energy -4.963 eV per atom.